Ce2BiTe | PBE | optimized geometry

```
Ce2BiTe
1.0
5.5204 0.0000 0.0000
2.7602 4.7808 0.0000
2.7602 1.5936 4.5074
Ce Te Bi
2 1 1
Direct
0.7500 0.7500 0.7500 Ce
0.2500 0.2500 0.2500 Ce
0.5000 0.5000 0.5000 Te
0.0000 0.0000 0.0000 Bi
```

Results
Polymorph energy (0 for the lowest one), kJ/mol of formula units: 55.5
Theoretical density, g/cm³: 8.61
SG: No. 225
Formation energy (no corrections), eV per atom: -0.940
Fermi-level density of states, states/eV/f.u.: 12.3

Ce2BiTe | PBE | optimized geometry

```
Ce2BiTe
1.0
-3.1182 2.9936 -1.2732
-0.2199 -1.8818 4.0886
8.6692 11.4745 5.7475
Te Bi Ce
2 2 4
Direct
0.6667 0.3333 0.2500 Te
0.3333 0.6667 0.7500 Te
0.0000 0.0000 0.5000 Bi
0.0000 0.0000 0.0000 Bi
0.3333 0.6667 0.1222 Ce
0.3333 0.6667 0.3778 Ce
0.6667 0.3333 0.6222 Ce
0.6667 0.3333 0.8778 Ce
```

Results
Polymorph energy (0 for the lowest one), kJ/mol of formula units: 21.7
Theoretical density, g/cm³: 7.52
SG: No. 194
Formation energy (no corrections), eV per atom: -1.027
Fermi-level density of states, states/eV/f.u.: 15.7

Ce4Bi3Te | PBE | optimized geometry

```
Ce4Bi3Te
1.0
6.4754 0.0000 0.0000
0.0000 6.4754 0.0000
0.0000 0.0000 6.4754
Ce Bi Te
4 3 1
Direct
0.5000 0.5000 0.5000 Ce
0.5000 0.0000 0.0000 Ce
0.0000 0.5000 0.0000 Ce
0.0000 0.0000 0.5000 Ce
0.0000 0.5000 0.5000 Bi
0.5000 0.5000 0.0000 Bi
0.5000 0.0000 0.5000 Bi
0.0000 0.0000 0.0000 Te
```

Results
Theoretical density, g/cm³: 8.04
SG: No. 221
Formation energy (no corrections), eV per atom: -0.938
Fermi-level density of states, states/eV/f.u.: 29.6

Ce6Bi5Te | PBE | optimized geometry

```
Ce6Bi5Te
1.0
7.9212 0.2275 0.0000
2.4474 7.5746 0.0000
1.2237 3.7873 6.8915
Bi Ce Te
5 6 1
Direct
0.0000 0.3336 0.3329 Bi
0.0000 0.6664 0.6671 Bi
0.5000 0.1674 0.6652 Bi
0.5000 0.8326 0.3348 Bi
0.5000 0.5000 0.0000 Bi
0.7511 0.0829 0.3316 Ce
0.2489 0.9171 0.6684 Ce
0.2489 0.5855 0.3316 Ce
0.2502 0.2480 0.0000 Ce
0.7511 0.4145 0.6684 Ce
0.7498 0.7520 0.0000 Ce
0.0000 0.0000 0.0000 Te
```

Results
Theoretical density, g/cm³: 8.16
SG: No. 12
Formation energy (no corrections), eV per atom: -0.891
Fermi-level density of states, states/eV/f.u.: 41.8

Ce2BiTe | PBE | optimized geometry

```
Ce2BiTe
1.0
-0.6279 -2.8858 3.5005
2.1087 -1.4368 -3.8023
5.2798 3.9430 4.1977
Ce Te Bi
2 1 1
Direct
0.7513 0.5026 0.7537 Ce
0.2487 0.4974 0.2463 Ce
0.5000 0.0000 0.0000 Te
0.0000 0.0000 0.5000 Bi
```

Results
Polymorph energy (0 for the lowest one), kJ/mol of formula units: 0.0
Theoretical density, g/cm³: 7.67
SG: No. 166
Formation energy (no corrections), eV per atom: -1.084
Fermi-level density of states, states/eV/f.u.: 14.2

Ce3Bi3Te | PBE | optimized geometry

```
Ce3Bi3Te
1.0
7.9970 0.2932 0.4990
-3.3003 7.2902 0.4990
-0.1992 -0.3217 8.3360
Ce Bi Te
6 6 2
Direct
0.1585 0.5005 0.2949 Ce
0.4995 0.8415 0.7051 Ce
0.0619 0.0619 0.7795 Ce
0.5005 0.1585 0.2949 Ce
0.8415 0.4995 0.7051 Ce
0.9381 0.9381 0.2205 Ce
0.4020 0.4020 0.6505 Bi
0.1629 0.8371 0.5000 Bi
0.8371 0.1629 0.5000 Bi
0.2099 0.7901 0.0000 Bi
0.5980 0.5980 0.3495 Bi
0.7901 0.2099 0.0000 Bi
0.2738 0.2738 0.0636 Te
0.7262 0.7262 0.9364 Te
```

Results
Theoretical density, g/cm³: 7.86
SG: No. 12
Formation energy (no corrections), eV per atom: -0.654
Fermi-level density of states, states/eV/f.u.: 17.4

Ce6BiTe5 | PBE | optimized geometry

```
Ce6BiTe5
1.0
7.8829 0.1733 0.0000
2.3892 7.3946 0.0000
1.1946 3.6973 6.7295
Te Ce Bi
5 6 1
Direct
0.5000 0.8349 0.3302 Te
0.0000 0.3329 0.3341 Te
0.0000 0.6671 0.6659 Te
0.5000 0.1651 0.6698 Te
0.5000 0.5000 0.0000 Te
0.7473 0.0844 0.3364 Ce
0.2527 0.5791 0.3364 Ce
0.7492 0.7467 0.0000 Ce
0.2508 0.2533 0.0000 Ce
0.2527 0.9156 0.6636 Ce
0.7473 0.4209 0.6636 Ce
0.0000 0.0000 0.0000 Bi
```

Results
Theoretical density, g/cm³: 7.20
SG: No. 12
Formation energy (no corrections), eV per atom: -1.271
Fermi-level density of states, states/eV/f.u.: 43.5

Ce3BiTe | PBE | optimized geometry

```
Ce3BiTe
1.0
4.1107 -0.3005 -0.4900
-2.5961 8.7981 -0.0348
-1.1485 -3.6315 9.8203
Ce Te Bi
6 2 2
Direct
0.3791 0.6813 0.9679 Ce
0.9444 0.0144 0.1212 Ce
0.5205 0.5966 0.3789 Ce
0.4795 0.4034 0.6211 Ce
0.0556 0.9856 0.8788 Ce
0.6209 0.3187 0.0321 Ce
0.0409 0.7251 0.2141 Te
0.9591 0.2749 0.7859 Te
0.7533 0.2794 0.3441 Bi
0.2467 0.7206 0.6559 Bi
```

Results
Theoretical density, g/cm³: 7.45
SG: No. 2
Formation energy (no corrections), eV per atom: -0.688
Fermi-level density of states, states/eV/f.u.: 14.9

Ce2BiTe | PBE | optimized geometry

```
Ce2BiTe
1.0
4.4274 0.0000 0.0000
2.2137 3.8342 0.0000
2.2137 1.2781 7.9963
Ce Bi Te
2 1 1
Direct
0.2519 0.2519 0.2443 Ce
0.0814 0.0814 0.7559 Ce
0.6681 0.6681 0.9957 Bi
0.4987 0.4987 0.5040 Te
```

Results
Polymorph energy (0 for the lowest one), kJ/mol of formula units: 35.0
Theoretical density, g/cm³: 7.55
SG: No. 160
Formation energy (no corrections), eV per atom: -0.993
Fermi-level density of states, states/eV/f.u.: 15.2

Ce3Bi5Te12 | PBE | optimized geometry

```
Ce3Bi5Te12
1.0
-6.8936 -12.2039 -7.8683
-3.1959 -1.2616 15.7023
-5.8147 13.9197 -5.5498
Te Bi Ce
48 20 12
Direct
0.3322 0.5547 0.4153 Te
0.4153 0.3606 0.5831 Te
0.2226 0.5547 0.6394 Te
0.0831 0.1678 0.2226 Te
0.6678 0.2226 0.5831 Te
0.3606 0.4153 0.0831 Te
0.2774 0.8606 0.9453 Te
0.0547 0.6394 0.7226 Te
0.7774 0.4453 0.3606 Te
0.2774 0.4169 0.8322 Te
0.1394 0.7226 0.5547 Te
0.1394 0.4169 0.0847 Te
0.5547 0.2226 0.1394 Te
0.9153 0.0831 0.8606 Te
0.4169 0.2774 0.3322 Te
0.4453 0.7774 0.8606 Te
0.3322 0.7774 0.4169 Te
0.7226 0.5831 0.1678 Te
0.5847 0.9453 0.6678 Te
0.0847 0.1678 0.4453 Te
0.7226 0.1394 0.0547 Te
0.1678 0.0831 0.7226 Te
0.4153 0.0547 0.3322 Te
0.0847 0.9169 0.1394 Te
0.4169 0.1394 0.5847 Te
0.5547 0.3322 0.9153 Te
0.8606 0.2774 0.4453 Te
0.5831 0.7226 0.6678 Te
0.9453 0.5847 0.1678 Te
0.9169 0.8322 0.7774 Te
0.1678 0.0847 0.9453 Te
0.3606 0.9453 0.7774 Te
0.4453 0.6678 0.0847 Te
0.9453 0.3606 0.2774 Te
0.7774 0.3322 0.9169 Te
0.5831 0.8606 0.4153 Te
0.8322 0.9153 0.0547 Te
0.6394 0.5847 0.9169 Te
0.0547 0.4153 0.8322 Te
0.2226 0.6678 0.0831 Te
0.8606 0.5831 0.9153 Te
0.6394 0.0547 0.2226 Te
0.0831 0.9153 0.3606 Te
0.6678 0.4453 0.5847 Te
0.9153 0.8322 0.5547 Te
0.5847 0.6394 0.4169 Te
0.9169 0.0847 0.6394 Te
0.8322 0.9169 0.2774 Te
0.0000 0.5000 0.5000 Bi
0.3750 0.1250 0.7500 Bi
0.0000 0.0000 0.0000 Bi
0.5000 0.5000 0.0000 Bi
0.6250 0.7500 0.8750 Bi
0.7500 0.1250 0.8750 Bi
0.8750 0.6250 0.7500 Bi
0.3750 0.2500 0.1250 Bi
0.8750 0.2500 0.6250 Bi
0.7500 0.6250 0.3750 Bi
0.2500 0.8750 0.1250 Bi
0.1250 0.3750 0.2500 Bi
0.5000 0.0000 0.5000 Bi
0.0000 0.5000 0.0000 Bi
0.6250 0.8750 0.2500 Bi
0.1250 0.7500 0.3750 Bi
0.5000 0.0000 0.0000 Bi
0.0000 0.0000 0.5000 Bi
0.5000 0.5000 0.5000 Bi
0.2500 0.3750 0.6250 Bi
0.6250 0.2500 0.3750 Ce
0.2500 0.1250 0.3750 Ce
0.7500 0.3750 0.1250 Ce
0.7500 0.8750 0.6250 Ce
0.1250 0.2500 0.8750 Ce
0.2500 0.6250 0.8750 Ce
0.6250 0.3750 0.7500 Ce
0.1250 0.8750 0.7500 Ce
0.3750 0.7500 0.6250 Ce
0.8750 0.7500 0.1250 Ce
0.3750 0.6250 0.2500 Ce
0.8750 0.1250 0.2500 Ce
```

Results
Theoretical density, g/cm³: 6.23
SG: No. 230
Formation energy (no corrections), eV per atom: -0.509
Fermi-level density of states, states/eV/f.u.: 22.2

Ce5BiTe4 | PBE | optimized geometry

```
Ce5BiTe4
1.0
4.4681 0.0000 -0.6297
-0.0887 4.4672 -0.6297
0.0129 0.0132 16.2588
Ce Bi Te
5 1 4
Direct
0.8988 0.8988 0.7975 Ce
0.1012 0.1012 0.2025 Ce
0.5000 0.5000 0.0000 Ce
0.3000 0.3000 0.6000 Ce
0.7000 0.7000 0.4000 Ce
0.0000 0.0000 0.0000 Bi
0.2006 0.2006 0.4012 Te
0.6002 0.6002 0.2004 Te
0.3998 0.3998 0.7996 Te
0.7994 0.7994 0.5988 Te
```

Results
Polymorph energy (0 for the lowest one), kJ/mol of formula units: 4.6
Theoretical density, g/cm³: 7.26
SG: No. 139
Formation energy (no corrections), eV per atom: -1.247
Fermi-level density of states, states/eV/f.u.: 37.0

Ce3BiTe3 | PBE | optimized geometry

```
Ce3BiTe3
1.0
-0.8763 3.8551 8.5846
-6.0314 -3.7164 6.2559
2.2849 -3.7448 7.1175
Ce Bi Te
6 2 6
Direct
0.7035 0.4590 0.7704 Ce
0.9329 0.2965 0.2296 Ce
0.2965 0.5410 0.2296 Ce
0.0671 0.7035 0.7704 Ce
0.4590 0.0671 0.7704 Ce
0.5410 0.9329 0.2296 Ce
0.3375 0.3375 0.9875 Bi
0.6625 0.6625 0.0125 Bi
0.1872 0.9011 0.2725 Te
0.0989 0.3608 0.7275 Te
0.6392 0.1872 0.2725 Te
0.8128 0.0989 0.7275 Te
0.3608 0.8128 0.7275 Te
0.9011 0.6392 0.2725 Te
```

Results
Polymorph energy (0 for the lowest one), kJ/mol of formula units: 0.0
Theoretical density, g/cm³: 6.86
SG: No. 148
Formation energy (no corrections), eV per atom: -1.148
Fermi-level density of states, states/eV/f.u.: 18.6

CeTmBiTe | PBE | optimized geometry

```
CeTmBiTe
1.0
4.3394 -0.0004 -0.0005
-2.1691 3.7584 0.0004
-2.1683 -1.2525 7.8358
Tm Bi Ce Te
1 1 1 1
Direct
0.4755 0.1357 0.6265 Tm
0.2970 0.5464 0.8587 Bi
0.1303 0.9631 0.1087 Ce
0.9751 0.3855 0.3758 Te
```

Results
Theoretical density, g/cm³: 8.39
SG: No. 160
Formation energy (no corrections), eV per atom: -0.948
Fermi-level density of states, states/eV/f.u.: 8.7

Ce6ThBi5 | PBE | optimized geometry

```
Ce6ThBi5
1.0
-3.8055 -0.9762 6.8766
-5.5874 -5.5218 -0.7358
1.7979 -7.6532 1.4785
Th Ce Bi
1 6 5
Direct
0.0000 0.0000 0.0000 Th
0.7540 0.0806 0.3312 Ce
0.2460 0.9194 0.6688 Ce
0.2505 0.2461 0.0000 Ce
0.7495 0.7539 0.0000 Ce
0.2460 0.5882 0.3312 Ce
0.7540 0.4118 0.6688 Ce
0.5000 0.8292 0.3416 Bi
0.0000 0.6653 0.6694 Bi
0.5000 0.1708 0.6584 Bi
0.0000 0.3347 0.3306 Bi
0.5000 0.5000 0.0000 Bi
```

Results
Theoretical density, g/cm³: 8.62
SG: No. 12
Final energy, eV/atom: -5.6293
Fermi-level density of states, states/eV/f.u.: 31.8

CeThBi2 | PBE | optimized geometry

```
CeThBi2
1.0
-4.0932 -2.4358 1.0484
1.8749 -1.5918 3.6217
-5.1616 10.7113 4.7337
Th Bi Ce
2 4 2
Direct
0.2500 0.4417 0.8834 Th
0.7500 0.5583 0.1166 Th
0.2500 0.3130 0.6261 Bi
0.7500 0.6870 0.3739 Bi
0.7500 0.9450 0.8900 Bi
0.2500 0.0550 0.1100 Bi
0.2500 0.1851 0.3702 Ce
0.7500 0.8149 0.6298 Ce
```

Results
Polymorph energy (0 for the lowest one), kJ/mol of formula units: 22.7
Theoretical density, g/cm³: 9.75
SG: No. 63
Fermi-level density of states, states/eV/f.u.: 8.9

Ce3ThBi4 | PBE | optimized geometry

```
Ce3ThBi4
1.0
-2.7516 -3.1801 1.9038
1.0694 -4.7167 -6.3334
5.5800 -1.5514 5.4734
Ce Bi Th
3 4 1
Direct
0.0000 0.0000 0.5000 Ce
0.0000 0.5000 0.0000 Ce
0.5000 0.5000 0.5000 Ce
0.0000 0.7494 0.7494 Bi
0.5000 0.7502 0.2498 Bi
0.5000 0.2498 0.7502 Bi
0.0000 0.2506 0.2506 Bi
0.5000 0.0000 0.0000 Th
```

Results
Theoretical density, g/cm³: 8.95
SG: No. 65
Final energy, eV/atom: -5.8418
Fermi-level density of states, states/eV/f.u.: 21.9

CeTh4Bi5 | PBE | optimized geometry

```
CeTh4Bi5
1.0
-3.6108 -2.5777 1.1908
-2.1100 0.1165 -6.1458
8.9200 -8.3023 0.2163
Th Bi Ce
4 5 1
Direct
0.8000 0.8000 0.5999 Th
0.5998 0.5998 0.1996 Th
0.4002 0.4002 0.8004 Th
0.2000 0.2000 0.4001 Th
0.8001 0.3001 0.6002 Bi
0.1999 0.6999 0.3998 Bi
0.0000 0.5000 0.0000 Bi
0.5996 0.0996 0.1992 Bi
0.4004 0.9004 0.8008 Bi
0.0000 0.0000 0.0000 Ce
```

Results
Theoretical density, g/cm³: 10.20
SG: No. 71
Final energy, eV/atom: -6.1157
Fermi-level density of states, states/eV/f.u.: 13.0

CeThBi2 | PBE | optimized geometry

```
CeThBi2
1.0
-0.7489 -3.3208 -2.4635
-1.3368 -3.6088 1.6872
-10.4979 0.7722 -1.4335
Bi Ce Th
2 1 1
Direct
0.0998 0.0998 0.7006 Bi
0.9002 0.9002 0.2994 Bi
0.5000 0.5000 0.5000 Ce
0.0000 0.0000 0.0000 Th
```

Results
Polymorph energy (0 for the lowest one), kJ/mol of formula units: 314.8
Theoretical density, g/cm³: 8.30
SG: No. 166
Fermi-level density of states, states/eV/f.u.: 6.9

CeThBi2 | PBE | optimized geometry

```
CeThBi2
1.0
-0.1849 -0.3177 3.9182
2.9817 -2.5676 -0.0675
5.1551 5.9673 0.7270
Bi Th Ce
2 1 1
Direct
0.0000 0.0000 0.7494 Bi
0.0000 0.0000 0.2506 Bi
0.5000 0.5000 0.0000 Th
0.5000 0.5000 0.5000 Ce
```

Results
Polymorph energy (0 for the lowest one), kJ/mol of formula units: 42.4
Theoretical density, g/cm³: 10.70
SG: No. 123
Fermi-level density of states, states/eV/f.u.: 7.8

CeTh2Bi | PBE | optimized geometry

```
CeTh2Bi
1.0
5.0875 0.0000 0.0000
0.0000 4.8512 0.0000
0.0000 0.0000 4.8512
Ce Th Bi
1 2 1
Direct
0.5000 0.5000 0.5000 Ce
0.0000 0.5000 0.0000 Th
0.0000 0.0000 0.5000 Th
0.5000 0.0000 0.0000 Bi
```

Results
Polymorph energy (0 for the lowest one), kJ/mol of formula units: 0.0
Theoretical density, g/cm³: 11.28
SG: No. 123
Fermi-level density of states, states/eV/f.u.: 8.8

Ce4ThBi3 | PBE | optimized geometry

```
Ce4ThBi3
1.0
-0.3699 0.4301 -4.0878
-7.3432 -2.7335 0.3768
1.1406 8.5843 2.8833
Bi Ce Th
3 4 1
Direct
0.8312 0.8313 0.6624 Bi
0.1688 0.1687 0.3376 Bi
0.0000 0.5000 0.0000 Bi
0.6407 0.4662 0.2815 Ce
0.3593 0.5338 0.7185 Ce
0.6407 0.8149 0.2813 Ce
0.3593 0.1851 0.7187 Ce
0.5000 0.0000 0.0000 Th
```

Results
Theoretical density, g/cm³: 9.12
SG: No. 71
Final energy, eV/atom: -5.6813
Fermi-level density of states, states/eV/f.u.: 16.8

Short version: spin magnetization = 2.92, 2.47, 4.09, 5.91, 2.28, 2.12, 6.88, 2.80, 2.71, 3.05, 1.04, 3.01, 1.24, 5.56, 0.94, 2.99, 1.12, 0.47, 1.33, 0.72, 4.62 μB/f.u., in the order given.